CsReI2: relaxed, GGA-PBE.

a = 7.3405 Å, b = 7.3405 Å, c = 7.3405 Å
α = 108.09°, β = 108.09°, γ = 112.27°
Positions (direct):
Cs (0.0000, 0.0000, 0.0000)
Cs (0.7500, 0.2500, 0.5000)
Re (0.2500, 0.7500, 0.5000)
Re (0.5000, 0.5000, 0.0000)
I (0.2491, 0.6250, 0.1241)
I (0.3750, 0.4991, 0.6241)
I (0.5009, 0.1250, 0.8759)
I (0.8750, 0.7509, 0.3759)

Density of states at the Fermi level in states/eV/cell: 0.76
Crystal system: tetragonal
E in eV/atom: -3.7774
E_form (uncorrected) in meV/atom: 323
SG: I-42d, No. 122